No. 1
## Be2TlRh (PBE)

Data for Be2TlRh after structural relaxation.

The structure in POSCAR format:
```
Be2TlRh
1.0
2.970 0.000 0.000
0.000 2.970 0.000
0.000 0.000 6.615
Be Tl Rh
2 1 1
Direct
0.000 0.000 0.167
0.000 0.000 0.833
0.500 0.500 0.500
0.500 0.500 0.000
```

Properties
As for the space group: P4/mmm (123).

No. 2
## BeTl2Rh2 (PBE)

Data for BeTl2Rh2 after structural relaxation.

The structure in POSCAR format:
```
BeTl2Rh2
1.0
7.611 0.000 0.000
0.000 7.611 0.000
0.000 0.000 3.187
Be Tl Rh
2 4 4
Direct
0.000 0.000 0.000
0.500 0.500 0.000
0.156 0.344 0.000
0.344 0.844 0.000
0.656 0.156 0.000
0.844 0.656 0.000
0.143 0.643 0.500
0.357 0.143 0.500
0.643 0.857 0.500
0.857 0.357 0.500
```

Properties
As for the space group: P4/mbm (127).

No. 3
## Be2TlRh (PBE)

Data for Be2TlRh after structural relaxation.

The structure in POSCAR format:
```
Be2TlRh
1.0
7.381 0.000 0.000
0.000 3.679 0.000
-1.060 0.000 4.532
Be Tl Rh
4 2 2
Direct
0.193 0.000 0.066
0.307 0.500 0.934
0.693 0.500 0.066
0.807 0.000 0.934
0.000 0.000 0.500
0.500 0.500 0.500
0.000 0.500 0.000
0.500 0.000 0.000
```

Properties
As for the space group: C2/m (12).

No. 4
## BeTl2Rh (PBE)

Data for BeTl2Rh after structural relaxation.

The structure in POSCAR format:
```
BeTl2Rh
1.0
6.137 0.000 0.000
0.000 9.055 0.000
-1.704 0.000 2.799
Be Tl Rh
2 4 2
Direct
0.000 0.000 0.000
0.500 0.500 0.000
0.250 0.250 0.000
0.250 0.750 0.000
0.750 0.250 0.000
0.750 0.750 0.000
0.000 0.500 0.000
0.500 0.000 0.000
```

Properties
As for the space group: C2/m (12).

No. 5
## Be2TlRh2 (PBE)

Data for Be2TlRh2 after structural relaxation.

The structure in POSCAR format:
```
Be2TlRh2
1.0
3.589 0.000 0.000
0.000 3.589 0.000
0.000 0.000 11.158
Be Tl Rh
4 2 4
Direct
0.000 0.500 0.250
0.000 0.500 0.750
0.500 0.000 0.250
0.500 0.000 0.750
0.000 0.000 0.000
0.500 0.500 0.500
0.000 0.000 0.375
0.000 0.000 0.625
0.500 0.500 0.125
0.500 0.500 0.875
```

Properties
As for the space group: I4/mmm (139).

No. 6
## Be2TlRh (PBE)

Data for Be2TlRh after structural relaxation.

The structure in POSCAR format:
```
Be2TlRh
1.0
5.960 0.000 0.000
0.000 5.960 0.000
0.000 0.000 5.960
Be Tl Rh
8 4 4
Direct
0.250 0.250 0.250
0.250 0.250 0.750
0.250 0.750 0.250
0.250 0.750 0.750
0.750 0.250 0.250
0.750 0.250 0.750
0.750 0.750 0.250
0.750 0.750 0.750
0.000 0.000 0.000
0.000 0.500 0.500
0.500 0.000 0.500
0.500 0.500 0.000
0.000 0.000 0.500
0.000 0.500 0.000
0.500 0.000 0.000
0.500 0.500 0.500
```

Properties
As for the space group: Fm-3m (225).

Number 1: raw total energy -4.342 eV/atom, calculated formation energy -49 meV per atom, E above lowest polymorph 0.00 eV per formula unit. Number 2: raw total energy -4.144 eV/atom, calculated formation energy 489 meV per atom, E above lowest polymorph 2.46 eV per formula unit. Number 3: raw total energy -4.217 eV/atom, calculated formation energy 76 meV per atom, E above lowest polymorph 0.50 eV per formula unit. Number 4: raw total energy -3.406 eV/atom, calculated formation energy 547 meV per atom, E above lowest polymorph 2.05 eV per formula unit. Number 5: raw total energy -4.970 eV/atom, calculated formation energy -65 meV per atom, E above lowest polymorph 0.86 eV per formula unit. Number 6: raw total energy -4.096 eV/atom, calculated formation energy 196 meV per atom, E above lowest polymorph 0.99 eV per formula unit.